# PBE HfMgMo2P, relaxed
data_HfMgMo2P
_chemical_formula_sum 'Hf1 Mg1 Mo2 P1'
_space_group_name_H-M_alt 'P 4/m m m'
_space_group_IT_number 123
_space_group_name_Hall '-P 4 2'
_cell_length_a 4.493
_cell_length_b 4.493
_cell_length_c 4.861
_cell_angle_alpha 90.00
_cell_angle_beta 90.00
_cell_angle_gamma 90.00
loop_
_atom_site_label
_atom_site_type_symbol
_atom_site_fract_x
_atom_site_fract_y
_atom_site_fract_z
Hf1 Hf 0.000 0.000 0.000
Mg1 Mg 0.500 0.500 0.000
Mo1 Mo 0.000 0.500 0.500
P1 P 0.000 0.000 0.500
# DOS at the Fermi energy: 1.18 states/eV per atom
# Energy of formation from the pure elements: 0.26 eV per atom
# Total DFT energy (no corrections): -7.47 eV per atom